Entry 1:
The following is a GGA-PBE calculation of Pm5Dy4Al after structural relaxation, from the Alexandria database.

Properties
ΔE_f ... -0.05 eV per atom
Space-group type ... P4/mmm (123)
Crystal system ... tetragonal

Cell and atoms, written as POSCAR:
```
Pm5Dy4Al
1.0
-3.529 -0.695 -0.141
0.575 -2.389 -2.631
2.796 -17.573 16.569
Pm Dy Al
5 4 1
Cartesian
-1.254 -2.945 -0.063 Pm
-0.664 -6.655 3.435 Pm
-0.079 -10.328 6.899 Pm
0.505 -14.002 10.362 Pm
1.096 -17.712 13.861 Pm
0.524 -3.295 3.107 Dy
1.107 -6.960 6.562 Dy
1.689 -10.613 10.007 Dy
2.272 -14.277 13.462 Dy
0.000 0.000 0.000 Al
```


Entry 2:
The following is a GGA-PBE calculation of PmDy7Al4 after structural relaxation, from the Alexandria database.

Properties
ΔE_f ... -0.06 eV per atom
Space-group type ... C2/m (12)
Crystal system ... monoclinic

Cell and atoms, written as POSCAR:
```
PmDy7Al4
1.0
5.501 0.000 0.000
2.750 8.653 0.327
2.750 0.569 6.921
Pm Dy Al
1 7 4
Cartesian
0.000 0.000 0.000 Pm
8.251 7.898 4.066 Dy
2.750 1.324 3.182 Dy
2.750 5.423 1.989 Dy
8.251 3.798 5.258 Dy
5.501 6.011 5.470 Dy
2.750 0.000 0.000 Dy
5.501 3.210 1.778 Dy
5.501 2.430 4.604 Al
5.501 6.792 2.643 Al
8.251 6.337 6.987 Al
2.750 2.885 0.261 Al
```


Entry 3:
The following is a GGA-PBE calculation of Pm5DyAl2 after structural relaxation, from the Alexandria database.

Properties
ΔE_f ... -0.03 eV per atom
Space-group type ... P6_3/mmc (194)
Energy relative to the lowest polymorph listed for this composition ... 38 meV per atom
Crystal system ... hexagonal

Cell and atoms, written as POSCAR:
```
Pm5DyAl2
1.0
-2.298 -4.117 -2.640
5.199 -0.283 1.446
-5.293 -8.221 17.425
Pm Dy Al
10 2 4
Cartesian
-1.823 -2.832 6.002 Pm
-0.823 -1.279 2.711 Pm
-1.122 -4.894 3.078 Pm
-4.469 -6.942 14.715 Pm
-0.093 -3.295 -0.311 Pm
-1.269 -7.727 13.153 Pm
-2.299 -9.326 16.541 Pm
-0.240 -6.128 9.764 Pm
-2.152 -6.493 6.467 Pm
-3.470 -5.389 11.423 Pm
1.377 -3.616 4.440 Dy
-3.769 -9.005 11.791 Dy
-2.980 -7.779 9.193 Al
2.166 -2.391 1.842 Al
0.588 -4.842 7.038 Al
-4.558 -10.230 14.388 Al
```


Entry 4:
The following is a GGA-PBE calculation of Pm6DyAl after structural relaxation, from the Alexandria database.

Properties
ΔE_f ... -0.06 eV per atom
Space-group type ... P4/mmm (123)
Crystal system ... tetragonal

Cell and atoms, written as POSCAR:
```
Pm6DyAl
1.0
4.953 0.000 0.000
0.000 4.953 0.000
0.000 0.000 10.185
Pm Dy Al
6 1 1
Cartesian
2.477 2.477 0.000 Pm
2.477 2.477 5.092 Pm
2.477 0.000 2.665 Pm
2.477 0.000 7.520 Pm
0.000 2.477 2.665 Pm
0.000 2.477 7.520 Pm
0.000 0.000 0.000 Dy
0.000 0.000 5.092 Al
```


Entry 5:
The following is a GGA-PBE calculation of PmDyAl after structural relaxation, from the Alexandria database.

Properties
ΔE_f ... 0.00 eV per atom
Space-group type ... R3m (160)
Energy relative to the lowest polymorph listed for this composition ... 230 meV per atom
Crystal system ... trigonal

Cell and atoms, written as POSCAR:
```
PmDyAl
1.0
-5.816 -0.942 -5.744
7.652 -0.271 3.012
-1.068 -2.201 2.512
Pm Dy Al
1 1 1
Cartesian
-2.133 -1.117 -0.938 Pm
-3.745 -1.272 -4.205 Dy
-0.091 -2.590 1.089 Al
```


Entry 6:
The following is a GGA-PBE calculation of PmDy2Al9 after structural relaxation, from the Alexandria database.

Properties
ΔE_f ... -0.39 eV per atom
Space-group type ... R-3m (166)
Crystal system ... trigonal

Cell and atoms, written as POSCAR:
```
PmDy2Al9
1.0
-5.584 0.351 -0.016
-3.093 -4.634 -0.518
-2.976 -2.348 8.539
Pm Dy Al
1 2 9
Cartesian
0.000 0.000 0.000 Pm
-8.712 -4.675 3.178 Dy
-2.940 -1.956 4.827 Dy
-5.785 -2.862 -0.299 Al
-5.867 -3.769 8.303 Al
-5.826 -3.316 4.002 Al
-4.327 -2.357 1.924 Al
-7.182 -2.177 1.916 Al
-5.908 -4.726 1.659 Al
-7.326 -4.274 6.080 Al
-5.745 -1.905 6.345 Al
-4.470 -4.454 6.088 Al
```


Entry 7:
The following is a GGA-PBE calculation of PmDy2Al6 after structural relaxation, from the Alexandria database.

Properties
ΔE_f ... -0.26 eV per atom
Space-group type ... Immm (71)
Energy relative to the lowest polymorph listed for this composition ... 229 meV per atom
Crystal system ... orthorhombic

Cell and atoms, written as POSCAR:
```
PmDy2Al6
1.0
4.406 0.000 0.000
2.203 7.559 1.136
2.203 3.259 6.914
Pm Dy Al
1 2 6
Cartesian
4.406 5.409 4.025 Pm
2.203 1.344 1.000 Dy
6.608 9.473 7.050 Dy
2.203 4.241 1.410 Al
6.608 6.576 6.640 Al
6.608 8.248 4.393 Al
2.203 4.051 5.850 Al
2.203 6.767 2.200 Al
2.203 2.569 3.658 Al
```


Entry 8:
The following is a GGA-PBE calculation of PmDy2Al after structural relaxation, from the Alexandria database.

Properties
ΔE_f ... -0.18 eV per atom
Space-group type ... P4/mmm (123)
Energy relative to the lowest polymorph listed for this composition ... 15 meV per atom
Crystal system ... tetragonal

Cell and atoms, written as POSCAR:
```
PmDy2Al
1.0
-3.158 1.901 -3.051
-3.106 0.634 3.609
1.838 4.362 0.816
Pm Al Dy
1 1 2
Cartesian
-2.213 3.448 0.687 Pm
-1.579 0.951 -1.526 Al
0.919 2.181 0.408 Dy
-1.553 0.317 1.804 Dy
```


Entry 9:
The following is a GGA-PBE calculation of PmDy2Al after structural relaxation, from the Alexandria database.

Properties
ΔE_f ... -0.07 eV per atom
Space-group type ... R3m (160)
Energy relative to the lowest polymorph listed for this composition ... 124 meV per atom
Crystal system ... trigonal

Cell and atoms, written as POSCAR:
```
PmDy2Al
1.0
-3.316 1.101 0.836
-2.549 -2.409 0.781
0.746 -0.004 10.685
Pm Dy Al
1 2 1
Cartesian
-2.561 -0.656 6.147 Pm
0.165 -0.097 8.503 Dy
-1.376 -0.343 2.716 Dy
-3.908 -0.872 1.087 Al
```


Entry 10:
The following is a GGA-PBE calculation of Pm4DyAl5 after structural relaxation, from the Alexandria database.

Properties
ΔE_f ... -0.37 eV per atom
Space-group type ... P4/mmm (123)
Crystal system ... tetragonal

Cell and atoms, written as POSCAR:
```
Pm4DyAl5
1.0
-1.863 3.137 0.476
-3.118 -1.708 -0.948
-2.934 -4.416 17.617
Pm Dy Al
4 1 5
Cartesian
-0.575 -0.865 3.453 Pm
-1.170 -1.761 7.025 Pm
-1.764 -2.655 10.592 Pm
-2.359 -3.550 14.164 Pm
0.000 0.000 0.000 Dy
-2.764 0.303 1.407 Al
-3.364 -0.599 5.005 Al
-3.958 -1.493 8.573 Al
-4.552 -2.388 12.140 Al
-5.151 -3.289 15.738 Al
```


Entry 11:
The following is a GGA-PBE calculation of Pm7Dy12Al after structural relaxation, from the Alexandria database.

Properties
ΔE_f ... 0.17 eV per atom
Space-group type ... P-1 (2)
Crystal system ... triclinic

Cell and atoms, written as POSCAR:
```
Pm7Dy12Al
1.0
7.043 0.897 -0.973
-1.959 9.818 -0.324
1.359 3.139 8.980
Pm Dy Al
7 12 1
Cartesian
1.124 9.041 7.713 Pm
1.276 2.806 0.155 Pm
-0.221 10.592 2.490 Pm
3.221 6.927 3.842 Pm
6.664 3.261 5.194 Pm
5.167 11.048 7.529 Pm
5.319 4.812 -0.030 Pm
7.226 6.812 5.439 Dy
5.621 4.985 8.038 Dy
4.045 3.363 2.740 Dy
5.679 9.681 4.215 Dy
2.947 3.828 6.171 Dy
4.154 7.845 6.760 Dy
2.289 6.009 0.924 Dy
3.496 10.026 1.513 Dy
0.764 4.173 3.469 Dy
2.398 10.491 4.943 Dy
0.822 8.869 -0.354 Dy
-0.783 7.041 2.245 Dy
0.000 0.000 0.000 Al
```


Entry 12:
The following is a GGA-PBE calculation of Pm5DyAl2 after structural relaxation, from the Alexandria database.

Properties
ΔE_f ... -0.06 eV per atom
Space-group type ... Immm (71)
Energy relative to the lowest polymorph listed for this composition ... 0 meV per atom
Crystal system ... orthorhombic

Cell and atoms, written as POSCAR:
```
Pm5DyAl2
1.0
3.646 0.000 0.000
1.823 8.085 -0.677
1.823 1.787 7.914
Pm Dy Al
5 1 2
Cartesian
1.823 4.936 3.619 Pm
3.646 4.913 0.721 Pm
3.646 4.959 6.516 Pm
3.646 7.706 2.769 Pm
3.646 2.166 4.469 Pm
0.000 0.000 0.000 Dy
5.469 7.674 5.626 Al
1.823 2.198 1.612 Al
```